6
Lattice="2.699 0.000 0.000 0.000 3.439 0.000 -1.348 0.000 5.205" Properties=species:S:1:pos:R:3 comment="Be5Co, optimized geometry, DFT PBEsol" formation_energy_ev_per_fu=-0.92 mass_density_g_cm3=3.575 m_tot_mub_per_cell=0.0 pbc="T T T"
Be 1.350 0.000 3.463
Be 0.000 0.000 1.743
Be 1.349 0.000 0.000
Be 0.001 1.719 3.478
Be 1.350 1.719 1.728
Co 0.000 1.719 0.000

---

5
Lattice="3.368 0.000 0.000 1.684 3.813 0.000 1.684 0.000 3.813" Properties=species:S:1:pos:R:3 comment="BeCo4, optimized geometry, DFT PBEsol" formation_energy_ev_per_fu=-0.22 mass_density_g_cm3=8.298 m_tot_mub_per_cell=5.5 pbc="T T T"
Be 0.000 0.000 0.000
Co 3.368 0.760 2.314
Co 5.052 2.314 3.054
Co 3.368 3.054 1.499
Co 1.684 1.499 0.760